No. 1
VASP calculation (PBE) on a relaxed YMnNi crystal.

Geometry as POSCAR:
```
YMnNi
1.0
4.0772 0.0000 0.0000
0.0000 4.0772 0.0000
-2.0386 -2.0386 6.5315
Y Ni Mn
2 2 2
Direct
0.3297 0.3297 0.6594
0.6703 0.6703 0.3406
0.1068 0.1068 0.2137
0.8932 0.8932 0.7863
0.0000 0.5000 0.0000
0.5000 0.0000 0.0000
```

- Space group: I4/mmm, No. 139
- Calculated density: 6.2 g cm⁻³
- E: -7.2929 eV/atom

No. 2
VASP calculation (PBE) on a relaxed YMn2Ni crystal.

Geometry as POSCAR:
```
YMn2Ni
1.0
-2.5582 -3.2600 0.5942
0.6947 -1.0706 -2.8829
4.2994 -3.2520 0.6685
Mn Ni Y
2 1 1
Direct
0.0000 0.0854 0.0415
0.0000 0.4146 0.4585
0.5000 0.2500 0.2500
0.5000 0.7500 0.7500
```

- Space group: P2/m, No. 10
- Calculated density: 6.2 g cm⁻³
- E: -7.4228 eV/atom

No. 3
VASP calculation (PBE) on a relaxed YMn3Ni crystal.

Geometry as POSCAR:
```
YMn3Ni
1.0
-2.8194 1.8039 3.3862
-3.1626 -3.4718 -0.7837
2.1722 -2.7133 3.2541
Mn Y Ni
3 1 1
Direct
0.0000 0.0000 0.5000
0.5000 0.0000 0.0000
0.0000 0.5000 0.0000
0.0000 0.0000 0.0000
0.5000 0.5000 0.5000
```

- Energy above the most stable polymorph in this dataset: 1479 meV per atom
- Space group: Pm-3m, No. 221
- Calculated density: 4.8 g cm⁻³
- E: -6.0315 eV/atom

No. 4
VASP calculation (PBE) on a relaxed YMn2Ni crystal.

Geometry as POSCAR:
```
YMn2Ni
1.0
5.2017 -0.0518 0.0000
2.3210 4.6555 0.0000
-3.7614 -2.3018 2.7594
Mn Y Ni
2 1 1
Direct
0.5000 0.5000 0.0000
0.0000 0.0000 0.0000
0.7500 0.2500 0.5000
0.2500 0.7500 0.5000
```

- Space group: I4/mmm, No. 139
- Calculated density: 6.4 g cm⁻³
- E: -7.4266 eV/atom

No. 5
VASP calculation (PBE) on a relaxed YMn3Ni crystal.

Geometry as POSCAR:
```
YMn3Ni
1.0
-4.1478 -1.0431 -1.5945
1.5299 -4.1001 -1.2975
-1.1358 -1.7135 4.0754
Mn Ni Y
3 1 1
Direct
0.0000 0.0000 0.5000
0.0000 0.5000 0.0000
0.5000 0.0000 0.0000
0.0000 0.0000 0.0000
0.5000 0.5000 0.5000
```

- Energy above the most stable polymorph in this dataset: 0 meV per atom
- Space group: Pm-3m, No. 221
- Calculated density: 5.5 g cm⁻³
- E: -7.5107 eV/atom

No. 6
VASP calculation (PBE) on a relaxed YMn2Ni crystal.

Geometry as POSCAR:
```
YMn2Ni
1.0
4.5383 0.0000 0.0000
2.2692 3.9303 0.0000
2.2692 1.3101 3.7055
Y Mn Ni
1 2 1
Direct
0.7500 0.7500 0.7500
0.0000 0.0000 0.0000
0.2500 0.2500 0.2500
0.5000 0.5000 0.5000
```

- Space group: F-43m, No. 216
- Calculated density: 6.5 g cm⁻³
- E: -7.5344 eV/atom